No. 1
5
Lattice="4.862 0.000 0.000 0.000 4.862 0.000 0.000 0.000 4.862" Properties=species:S:1:pos:R:3 comment="ZrW3Se (PBE, optimized geometry)" total_energy_ev_per_cell=-37.464 relative_energy_mev_per_atom=1511.3 n_ef_per_ev_atom=1.434 formation_energy_uncorrected_ev_per_atom=2.6856 pbc="T T T"
Zr 0.000 0.000 0.000
W 0.000 0.000 2.431
W 0.000 2.431 0.000
W 2.431 0.000 0.000
Se 2.431 2.431 2.431

=====

No. 2
6
Lattice="0.000 3.886 3.886 3.886 0.000 3.886 3.886 3.886 0.000" Properties=species:S:1:pos:R:3 comment="ZrWSe4 (PBE, optimized geometry)" total_energy_ev_per_cell=-29.455 n_ef_per_ev_atom=1.087 formation_energy_uncorrected_ev_per_atom=0.9974 pbc="T T T"
Zr 0.000 0.000 0.000
W 1.943 1.943 1.943
Se 4.856 2.917 2.917
Se 2.917 4.856 2.917
Se 2.917 2.917 4.856
Se 4.856 4.856 4.856

=====

No. 3
8
Lattice="3.398 0.000 0.000 0.000 3.346 0.000 0.000 0.000 12.749" Properties=species:S:1:pos:R:3 comment="ZrW2Se (PBE, optimized geometry)" total_energy_ev_per_cell=-76.615 n_ef_per_ev_atom=0.380 formation_energy_uncorrected_ev_per_atom=-0.0921 pbc="T T T"
Zr 0.000 0.000 0.000
Zr 0.000 1.673 6.374
W 0.000 0.000 9.610
W 0.000 1.673 3.235
W 1.699 0.000 4.593
W 1.699 1.673 10.967
Se 1.699 0.000 7.599
Se 1.699 1.673 1.224

=====

No. 4
8
Lattice="9.582 0.000 0.000 0.000 3.419 0.000 -2.639 0.000 4.453" Properties=species:S:1:pos:R:3 comment="ZrW2Se (PBE, optimized geometry)" total_energy_ev_per_cell=-74.582 n_ef_per_ev_atom=0.369 formation_energy_uncorrected_ev_per_atom=0.1620 pbc="T T T"
Zr 0.000 0.000 0.000
Zr 4.791 1.710 0.000
W 0.178 0.000 3.033
W 3.232 0.000 2.066
W 4.969 1.710 3.033
W 8.023 1.710 2.066
Se 2.008 1.710 0.442
Se 6.799 0.000 0.442

=====

No. 5
4
Lattice="3.198 0.000 0.000 0.000 4.168 0.000 0.000 0.000 5.939" Properties=species:S:1:pos:R:3 comment="ZrWSe2 (PBE, optimized geometry)" total_energy_ev_per_cell=-27.988 relative_energy_mev_per_atom=541.9 n_ef_per_ev_atom=0.666 formation_energy_uncorrected_ev_per_atom=0.1205 pbc="T T T"
Zr 0.000 0.000 0.000
W 1.599 0.000 2.969
Se 0.000 2.084 2.969
Se 1.599 2.084 0.000

=====

No. 6
4
Lattice="3.006 0.000 0.000 0.000 3.006 0.000 0.000 0.000 7.869" Properties=species:S:1:pos:R:3 comment="ZrW2Se (PBE, optimized geometry)" total_energy_ev_per_cell=-36.053 n_ef_per_ev_atom=1.420 formation_energy_uncorrected_ev_per_atom=0.4716 pbc="T T T"
Zr 0.000 0.000 0.000
W 1.503 1.503 2.273
W 1.503 1.503 5.596
Se 0.000 0.000 3.935